Material: LiCrPd4
Method: DFT, PBE-GGA
State: optimized geometry

Unit cell a=8.9933 b=4.4005 c=5.5058 alpha=90.00 beta=125.42 gamma=90.00
Fractional coordinates of all 12 atoms:
Li 0.0000 0.0000 0.0000
Li 0.5000 0.5000 0.0000
Cr 0.0000 0.0000 0.5000
Cr 0.5000 0.5000 0.5000
Pd 0.1685 0.5000 0.0304
Pd 0.1698 0.5000 0.5318
Pd 0.3302 0.0000 0.4682
Pd 0.3315 0.0000 0.9696
Pd 0.6685 0.0000 0.0304
Pd 0.6698 0.0000 0.5318
Pd 0.8302 0.5000 0.4682
Pd 0.8315 0.5000 0.9696

Energy in hartree per atom: -0.20247
ΔH_f (0 K) in meV/atom: -125
Space group: C2/m (12)
Polymorph energy (0 for the lowest one) in eV per formula unit: 0.00

Material: LiCrPd2
Method: DFT, PBE-GGA
State: optimized geometry

Unit cell a=6.7589 b=6.7589 c=5.4286 alpha=90.00 beta=90.00 gamma=90.00
Fractional coordinates of all 16 atoms:
Li 0.0000 0.0000 0.0000
Li 0.0000 0.5000 0.2500
Li 0.5000 0.0000 0.7500
Li 0.5000 0.5000 0.5000
Cr 0.0000 0.0000 0.5000
Cr 0.0000 0.5000 0.7500
Cr 0.5000 0.0000 0.2500
Cr 0.5000 0.5000 0.0000
Pd 0.2363 0.2500 0.1250
Pd 0.2500 0.7363 0.3750
Pd 0.2500 0.7637 0.8750
Pd 0.2637 0.2500 0.6250
Pd 0.7363 0.7500 0.6250
Pd 0.7500 0.2363 0.8750
Pd 0.7500 0.2637 0.3750
Pd 0.7637 0.7500 0.1250

Energy in hartree per atom: -0.19597
ΔH_f (0 K) in meV/atom: 148
Space group: I-42d (122)

Material: LiCrPd4
Method: DFT, PBE-GGA
State: optimized geometry

Unit cell a=8.5562 b=7.7417 c=5.3474 alpha=79.34 beta=62.77 gamma=37.89
Fractional coordinates of all 12 atoms:
Li 0.1250 0.1250 0.1250
Li 0.8750 0.8750 0.8750
Cr 0.3750 0.3750 0.3750
Cr 0.6250 0.6250 0.6250
Pd 0.0289 0.5274 0.2215
Pd 0.2215 0.7222 0.0289
Pd 0.2778 0.7785 0.4726
Pd 0.4726 0.9711 0.2778
Pd 0.5274 0.0289 0.7222
Pd 0.7222 0.2215 0.5274
Pd 0.7785 0.2778 0.9711
Pd 0.9711 0.4726 0.7785

Energy in hartree per atom: -0.20043
ΔH_f (0 K) in meV/atom: -69
Space group: Fddd (70)
Polymorph energy (0 for the lowest one) in eV per formula unit: 0.33

Material: Li3CrPd12
Method: DFT, PBE-GGA
State: optimized geometry

Unit cell a=3.9050 b=3.9050 c=15.4969 alpha=90.00 beta=90.00 gamma=90.00
Fractional coordinates of all 16 atoms:
Li 0.0000 0.0000 0.0000
Li 0.0000 0.0000 0.2475
Li 0.0000 0.0000 0.7525
Cr 0.0000 0.0000 0.5000
Pd 0.0000 0.5000 0.1242
Pd 0.0000 0.5000 0.3748
Pd 0.0000 0.5000 0.6252
Pd 0.0000 0.5000 0.8758
Pd 0.5000 0.0000 0.1242
Pd 0.5000 0.0000 0.3748
Pd 0.5000 0.0000 0.6252
Pd 0.5000 0.0000 0.8758
Pd 0.5000 0.5000 0.0000
Pd 0.5000 0.5000 0.2490
Pd 0.5000 0.5000 0.5000
Pd 0.5000 0.5000 0.7510

Energy in hartree per atom: -0.18614
ΔH_f (0 K) in meV/atom: -210
Space group: P4/mmm (123)